Computed, not measured: a geometry-optimized Be2SiSb structure at the PBEsol level of DFT.

Computed properties:
ΔE_f (raw) = 1.87 eV per formula unit
distance to the lowest polymorph of the same formula = 0.0 meV/atom

Lattice parameters (Å, degrees): 2.828 3.351 6.529 90.00 90.00 90.00
Atoms (fractional coordinates):
Sb 0.000 0.000 0.435
Si 0.500 0.500 0.846
Be 0.500 0.500 0.193
Be 0.000 0.000 0.026

---

Computed, not measured: a geometry-optimized Cs2As2OF10 structure at the PBEsol level of DFT.

Computed properties:
ΔE_f (raw) = -35.85 eV per formula unit

Lattice parameters (Å, degrees): 5.591 9.077 10.648 90.00 90.00 104.36
Atoms (fractional coordinates):
F 0.728 0.895 0.582
F 0.928 0.071 0.750
F 0.072 0.929 0.250
F 0.741 0.547 0.631
F 0.978 0.809 0.750
F 0.478 0.980 0.750
F 0.728 0.895 0.918
F 0.518 0.323 0.750
F 0.259 0.453 0.131
F 0.482 0.677 0.250
F 0.278 0.475 0.866
F 0.741 0.547 0.869
F 0.522 0.020 0.250
F 0.272 0.105 0.418
F 0.259 0.453 0.369
F 0.722 0.525 0.366
F 0.272 0.105 0.082
F 0.022 0.191 0.250
F 0.722 0.525 0.134
F 0.278 0.475 0.634
Cs 0.178 0.753 0.012
Cs 0.178 0.753 0.488
Cs 0.822 0.247 0.512
Cs 0.822 0.247 0.988
As 0.512 0.517 0.750
As 0.720 0.888 0.750
As 0.280 0.112 0.250
As 0.488 0.483 0.250
O 0.511 0.289 0.250
O 0.489 0.711 0.750

---

Computed, not measured: a geometry-optimized Li2TaCl structure at the PBEsol level of DFT.

Computed properties:
ΔE_f (raw) = 1.83 eV per formula unit
distance to the lowest polymorph of the same formula = 534.5 meV/atom

Lattice parameters (Å, degrees): 3.646 3.646 5.068 111.08 111.08 90.00
Atoms (fractional coordinates):
Li 0.000 0.000 0.000
Li 0.750 0.250 0.500
Ta 0.500 0.500 0.000
Cl 0.250 0.750 0.500